Crystalline TbNd2PuTe5 at its relaxed geometry. Source: Alexandria, functional GGA-PBE.

Values from the calculation:
* uncorrected formation energy: -725.4 meV per atom
* total magnetization: 5.84 μB/f.u.

Lattice parameters (Å, degrees): 5.536 5.536 11.801 90.00 90.00 90.00
Space group P4/mmm (No. 123)
Unique sites:
Tb (0.000, 0.000, 0.000) (multiplicity 1)
Nd (0.500, 0.500, 0.168) (multiplicity 2)
Pu (0.000, 0.000, 0.500) (multiplicity 1)
Te (0.000, 0.000, 0.249) (multiplicity 2)
Te (0.000, 0.500, 0.000) (multiplicity 2)
Te (0.500, 0.500, 0.500) (multiplicity 1)



Crystalline Tb2NdPu3Te6 at its relaxed geometry. Source: Alexandria, functional GGA-PBE.

Values from the calculation:
* uncorrected formation energy: -1237.1 meV per atom
* total magnetization: 5.92 μB/f.u.

Lattice parameters (Å, degrees): 19.273 4.412 8.858 90.00 102.94 90.00
Space group C2/m (No. 12)
Unique sites:
Tb (0.166, 0.000, 0.335) (multiplicity 4)
Nd (0.000, 0.500, 0.000) (multiplicity 2)
Pu (0.000, 0.500, 0.500) (multiplicity 2)
Pu (0.165, 0.000, 0.835) (multiplicity 4)
Te (0.002, 0.000, 0.255) (multiplicity 4)
Te (0.168, 0.500, 0.583) (multiplicity 4)
Te (0.169, 0.500, 0.088) (multiplicity 4)



Crystalline TbNd3Pu2Te6 at its relaxed geometry. Source: Alexandria, functional GGA-PBE.

Values from the calculation:
* uncorrected formation energy: -1312.0 meV per atom
* total magnetization: 11.88 μB/f.u.

Lattice parameters (Å, degrees): 19.453 4.435 8.948 90.00 103.73 90.00
Space group C2/m (No. 12)
Unique sites:
Tb (0.000, 0.000, 0.000) (multiplicity 2)
Nd (0.000, 0.000, 0.500) (multiplicity 2)
Nd (0.167, 0.500, 0.834) (multiplicity 4)
Pu (0.166, 0.500, 0.333) (multiplicity 4)
Te (0.001, 0.500, 0.244) (multiplicity 4)
Te (0.164, 0.000, 0.086) (multiplicity 4)
Te (0.168, 0.000, 0.580) (multiplicity 4)



Crystalline Tb3Nd2PuTe6 at its relaxed geometry. Source: Alexandria, functional GGA-PBE.

Values from the calculation:
* uncorrected formation energy: -1328.0 meV per atom
* total magnetization: 6.10 μB/f.u.

Lattice parameters (Å, degrees): 19.321 4.398 8.900 90.00 103.76 90.00
Space group C2/m (No. 12)
Unique sites:
Tb (0.000, 0.000, 0.000) (multiplicity 2)
Tb (0.169, 0.500, 0.336) (multiplicity 4)
Nd (0.167, 0.500, 0.833) (multiplicity 4)
Pu (0.000, 0.000, 0.500) (multiplicity 2)
Te (0.003, 0.500, 0.249) (multiplicity 4)
Te (0.164, 0.000, 0.090) (multiplicity 4)
Te (0.167, 0.000, 0.577) (multiplicity 4)



Crystalline Tb6Nd3Tm2Pu at its relaxed geometry. Source: Alexandria, functional GGA-PBE.

Values from the calculation:
* energy of formation: 0.046 eV per atom
* total magnetization: 6.65 μB/f.u.

Lattice parameters (Å, degrees): 6.175 10.700 11.780 90.00 100.11 90.00
Space group C2/m (No. 12)
Unique sites:
Tb (0.246, 0.165, 0.244) (multiplicity 8)
Tb (0.248, 0.000, 0.756) (multiplicity 4)
Nd (0.000, 0.167, 0.500) (multiplicity 4)
Nd (0.000, 0.500, 0.500) (multiplicity 2)
Tm (0.000, 0.333, 0.000) (multiplicity 4)
Pu (0.000, 0.000, 0.000) (multiplicity 2)



Crystalline Tb6Nd3Y2Pu at its relaxed geometry. Source: Alexandria, functional GGA-PBE.

Values from the calculation:
* energy of formation: 0.047 eV per atom
* total magnetization: 6.60 μB/f.u.

Lattice parameters (Å, degrees): 6.206 10.755 11.823 90.00 100.12 90.00
Space group C2/m (No. 12)
Unique sites:
Tb (0.246, 0.164, 0.245) (multiplicity 8)
Tb (0.247, 0.000, 0.755) (multiplicity 4)
Nd (0.000, 0.167, 0.500) (multiplicity 4)
Nd (0.000, 0.500, 0.500) (multiplicity 2)
Y (0.000, 0.333, 0.000) (multiplicity 4)
Pu (0.000, 0.000, 0.000) (multiplicity 2)



Crystalline Tb6Nd2Y3Pu at its relaxed geometry. Source: Alexandria, functional GGA-PBE.

Values from the calculation:
* energy of formation: 0.050 eV per atom
* total magnetization: 6.28 μB/f.u.

Lattice parameters (Å, degrees): 6.189 10.732 11.807 90.00 100.12 90.00
Space group C2/m (No. 12)
Unique sites:
Tb (0.246, 0.000, 0.250) (multiplicity 4)
Tb (0.247, 0.164, 0.750) (multiplicity 8)
Nd (0.000, 0.333, 0.500) (multiplicity 4)
Y (0.000, 0.167, 0.000) (multiplicity 4)
Y (0.000, 0.500, 0.000) (multiplicity 2)
Pu (0.000, 0.000, 0.500) (multiplicity 2)



Crystalline Tb3Nd2Y6Pu at its relaxed geometry. Source: Alexandria, functional GGA-PBE.

Values from the calculation:
* energy of formation: 0.049 eV per atom
* total magnetization: 6.33 μB/f.u.

Lattice parameters (Å, degrees): 6.196 10.740 11.794 90.00 100.12 90.00
Space group C2/m (No. 12)
Unique sites:
Tb (0.000, 0.000, 0.000) (multiplicity 2)
Tb (0.000, 0.333, 0.000) (multiplicity 4)
Nd (0.000, 0.167, 0.500) (multiplicity 4)
Y (0.246, 0.500, 0.250) (multiplicity 4)
Y (0.248, 0.335, 0.750) (multiplicity 8)
Pu (0.000, 0.500, 0.500) (multiplicity 2)



Crystalline Tb2Nd3Y6Pu at its relaxed geometry. Source: Alexandria, functional GGA-PBE.

Values from the calculation:
* energy of formation: 0.044 eV per atom
* total magnetization: 6.55 μB/f.u.

Lattice parameters (Å, degrees): 6.216 10.770 11.803 90.00 100.12 90.00
Space group C2/m (No. 12)
Unique sites:
Tb (0.000, 0.167, 0.000) (multiplicity 4)
Nd (0.000, 0.000, 0.500) (multiplicity 2)
Nd (0.000, 0.333, 0.500) (multiplicity 4)
Y (0.246, 0.335, 0.245) (multiplicity 8)
Y (0.248, 0.500, 0.755) (multiplicity 4)
Pu (0.000, 0.500, 0.000) (multiplicity 2)



Crystalline NdPuTc at its relaxed geometry. Source: Alexandria, functional GGA-PBE.

Values from the calculation:
* energy of formation: 0.017 eV per atom
* total magnetization: 4.73 μB/f.u.

Lattice parameters (Å, degrees): 4.065 11.478 6.311 90.00 90.00 90.00
Space group Cmcm (No. 63)
Unique sites:
Nd (0.000, 0.214, 0.250) (multiplicity 4)
Pu (0.000, 0.500, 0.000) (multiplicity 4)
Tc (0.000, 0.079, 0.750) (multiplicity 4)



Crystalline Nd3PuTc8 at its relaxed geometry. Source: Alexandria, functional GGA-PBE.

Values from the calculation:
* energy of formation: 0.061 eV per atom
* total magnetization: 4.70 μB/f.u.

Lattice parameters (Å, degrees): 5.6012 5.6012 25.4127 90.00 90.00 120.00
Space group R3m (No. 160, hexagonal axes)
Unique sites:
Nd (0.0000, 0.0000, 0.0000) (multiplicity 3)
Nd (0.0000, 0.0000, 0.1259) (multiplicity 3)
Nd (0.0000, 0.0000, 0.6245) (multiplicity 3)
Pu (0.0000, 0.0000, 0.4987) (multiplicity 3)
Tc (0.0000, 0.0000, 0.3127) (multiplicity 3)
Tc (0.0000, 0.0000, 0.8140) (multiplicity 3)
Tc (0.0009, 0.5004, 0.0642) (multiplicity 9)
Tc (0.1673, 0.3346, 0.8954) (multiplicity 9)



Crystalline NdPu2Tc9 at its relaxed geometry. Source: Alexandria, functional GGA-PBE.

Values from the calculation:
* energy of formation: 0.099 eV per atom
* total magnetization: 9.62 μB/f.u.

Lattice parameters (Å, degrees): 5.2759 5.2759 26.9626 90.00 90.00 120.00
Space group R-3m (No. 166, hexagonal axes)
Unique sites:
Nd (0.0000, 0.0000, 0.0000) (multiplicity 3)
Pu (0.0000, 0.0000, 0.1452) (multiplicity 6)
Tc (0.0000, 0.0000, 0.3361) (multiplicity 6)
Tc (0.0000, 0.0000, 0.5000) (multiplicity 3)
Tc (0.0053, 0.5026, 0.9171) (multiplicity 18)



Crystalline NdPuTc at its relaxed geometry. Source: Alexandria, functional GGA-PBE.

Values from the calculation:
* energy of formation: 0.119 eV per atom
* total magnetization: 4.63 μB/f.u.

Lattice parameters (Å, degrees): 3.546 3.546 11.353 90.00 90.00 90.00
Space group I4mm (No. 107)
Unique sites:
Nd (0.000, 0.000, 0.000) (multiplicity 2)
Pu (0.000, 0.000, 0.288) (multiplicity 2)
Tc (0.000, 0.000, 0.693) (multiplicity 2)



Crystalline NdPuZnTc at its relaxed geometry. Source: Alexandria, functional GGA-PBE.

Values from the calculation:
* energy of formation: 0.088 eV per atom
* total magnetization: 5.11 μB/f.u.

Lattice parameters (Å, degrees): 7.060 7.060 7.060 90.00 90.00 90.00
Space group F-43m (No. 216)
Unique sites:
Nd (0.000, 0.000, 0.000) (multiplicity 4)
Pu (0.000, 0.000, 0.500) (multiplicity 4)
Zn (0.250, 0.250, 0.250) (multiplicity 4)
Tc (0.250, 0.250, 0.750) (multiplicity 4)



Crystalline NdPu2Te4 at its relaxed geometry. Source: Alexandria, functional GGA-PBE.

Values from the calculation:
* uncorrected formation energy: -1164.0 meV per atom
* total magnetization: 10.99 μB/f.u.

Lattice parameters (Å, degrees): 4.355 14.472 15.159 90.00 90.00 90.00
Space group Cmcm (No. 63)
Unique sites:
Nd (0.000, 0.118, 0.250) (multiplicity 4)
Pu (0.000, 0.365, 0.066) (multiplicity 8)
Te (0.000, 0.000, 0.000) (multiplicity 4)
Te (0.000, 0.277, 0.625) (multiplicity 8)
Te (0.000, 0.459, 0.250) (multiplicity 4)



Crystalline NdPuTe6 at its relaxed geometry. Source: Alexandria, functional GGA-PBE.

Values from the calculation:
* uncorrected formation energy: -849.1 meV per atom
* total magnetization: 4.84 μB/f.u.

Lattice parameters (Å, degrees): 4.382 4.381 27.044 90.00 90.00 90.00
Space group Amm2 (No. 38)
Unique sites:
Nd (0.000, 0.000, 0.000) (multiplicity 2)
Pu (0.500, 0.000, 0.656) (multiplicity 2)
Te (0.000, 0.000, 0.124) (multiplicity 2)
Te (0.000, 0.000, 0.406) (multiplicity 2)
Te (0.000, 0.000, 0.747) (multiplicity 2)
Te (0.500, 0.000, 0.247) (multiplicity 2)
Te (0.500, 0.000, 0.536) (multiplicity 2)
Te (0.500, 0.000, 0.906) (multiplicity 2)



Crystalline Nd4PuTe5 at its relaxed geometry. Source: Alexandria, functional GGA-PBE.

Values from the calculation:
* uncorrected formation energy: -1364.3 meV per atom
* total magnetization: 5.88 μB/f.u.

Lattice parameters (Å, degrees): 4.486 4.486 31.754 90.00 90.00 90.00
Space group I4/mmm (No. 139)
Unique sites:
Nd (0.000, 0.000, 0.101) (multiplicity 4)
Nd (0.000, 0.000, 0.302) (multiplicity 4)
Pu (0.000, 0.000, 0.500) (multiplicity 2)
Te (0.000, 0.000, 0.000) (multiplicity 2)
Te (0.000, 0.000, 0.201) (multiplicity 4)
Te (0.000, 0.000, 0.402) (multiplicity 4)



Crystalline Nd2PuTe at its relaxed geometry. Source: Alexandria, functional GGA-PBE.

Values from the calculation:
* uncorrected formation energy: -156.5 meV per atom
* total magnetization: 6.76 μB/f.u.

Lattice parameters (Å, degrees): 3.8937 3.8937 32.4692 90.00 90.00 120.00
Space group R-3m (No. 166, hexagonal axes)
Unique sites:
Nd (0.0000, 0.0000, 0.1001) (multiplicity 6)
Pu (0.0000, 0.0000, 0.0000) (multiplicity 3)
Te (0.0000, 0.0000, 0.5000) (multiplicity 3)



Crystalline Nd3Pu4Te8 at its relaxed geometry. Source: Alexandria, functional GGA-PBE.

Values from the calculation:
* uncorrected formation energy: -1232.6 meV per atom
* total magnetization: 0.15 μB/f.u.

Lattice parameters (Å, degrees): 8.904 8.911 8.925 60.11 89.95 60.03
Space group P-1 (No. 2)
Unique sites:
Nd (0.000, 0.000, 0.000) (multiplicity 1)
Nd (0.000, 0.500, 0.000) (multiplicity 1)
Nd (0.500, 0.000, 0.500) (multiplicity 1)
Pu (0.000, 0.500, 0.500) (multiplicity 1)
Pu (0.500, 0.000, 0.000) (multiplicity 1)
Pu (0.500, 0.500, 0.000) (multiplicity 1)
Pu (0.500, 0.500, 0.500) (multiplicity 1)
Te (0.247, 0.998, 0.255) (multiplicity 2)
Te (0.248, 0.998, 0.748) (multiplicity 2)
Te (0.249, 0.504, 0.746) (multiplicity 2)
Te (0.251, 0.500, 0.253) (multiplicity 2)



Crystalline Nd5PuTe6 at its relaxed geometry. Source: Alexandria, functional GGA-PBE.

Values from the calculation:
* uncorrected formation energy: -1380.0 meV per atom
* total magnetization: 5.92 μB/f.u.

Lattice parameters (Å, degrees): 7.754 13.433 7.800 90.00 109.31 90.00
Space group C2/m (No. 12)
Unique sites:
Nd (0.000, 0.000, 0.000) (multiplicity 2)
Nd (0.000, 0.167, 0.500) (multiplicity 4)
Nd (0.000, 0.329, 0.000) (multiplicity 4)
Pu (0.000, 0.500, 0.500) (multiplicity 2)
Te (0.246, 0.500, 0.250) (multiplicity 4)
Te (0.247, 0.336, 0.747) (multiplicity 8)



Crystalline Nd3Pu5Te8 at its relaxed geometry. Source: Alexandria, functional GGA-PBE.

Values from the calculation:
* uncorrected formation energy: -1219.0 meV per atom
* total magnetization: 5.89 μB/f.u.

Lattice parameters (Å, degrees): 8.9133 8.9133 21.8514 90.00 90.00 120.00
Space group R-3m (No. 166, hexagonal axes)
Unique sites:
Nd (0.0000, 0.5000, 0.0000) (multiplicity 9)
Pu (0.0000, 0.0000, 0.0000) (multiplicity 3)
Pu (0.0000, 0.0000, 0.5000) (multiplicity 3)
Pu (0.0000, 0.5000, 0.5000) (multiplicity 9)
Te (0.0000, 0.0000, 0.2476) (multiplicity 6)
Te (0.0022, 0.5011, 0.7511) (multiplicity 18)



Crystalline Nd2PuTe3 at its relaxed geometry. Source: Alexandria, functional GGA-PBE.

Values from the calculation:
* uncorrected formation energy: -1332.7 meV per atom
* total magnetization: 5.96 μB/f.u.

Lattice parameters (Å, degrees): 4.464 6.324 13.474 90.00 90.00 90.00
Space group Immm (No. 71)
Unique sites:
Nd (0.000, 0.000, 0.170) (multiplicity 4)
Pu (0.000, 0.000, 0.500) (multiplicity 2)
Te (0.000, 0.500, 0.162) (multiplicity 4)
Te (0.000, 0.500, 0.500) (multiplicity 2)